{
  "formula": "SiPRh",
  "functional": "PBE",
  "state": "relaxed",
  "space_group": "Amm2, No. 38",
  "formation_energy_uncorrected_mev_per_atom": -311,
  "dft_energy_ev_per_atom": -6.372,
  "lattice_angstrom": [[2.823, 0.000, 0.000], [0.000, 1.703, 5.236], [0.000, -1.703, 5.236]],
  "species": ["Si", "P", "Rh"],
  "frac_coords": [[0.000, 0.000, 0.000], [0.000, 0.641, 0.641], [0.500, 0.817, 0.817]]
}

---

{
  "formula": "Pm2AsRh3",
  "functional": "PBE",
  "state": "relaxed",
  "space_group": "R-3m, No. 166",
  "delta_e_f_mev_per_atom": -833,
  "dft_energy_ev_per_atom": -6.867,
  "lattice_angstrom": [[2.824, 1.630, 4.037], [-2.824, 1.630, 4.037], [0.000, -3.261, 4.037]],
  "species": ["Pm", "Pm", "As", "Rh", "Rh", "Rh"],
  "frac_coords": [[0.126, 0.126, 0.126], [0.874, 0.874, 0.874], [0.500, 0.500, 0.500], [0.000, 0.500, 0.500], [0.500, 0.000, 0.500], [0.500, 0.500, 0.000]]
}

---

{
  "formula": "ErBiRh2",
  "functional": "PBE",
  "state": "relaxed",
  "space_group": "P4/mmm, No. 123",
  "delta_e_f_mev_per_atom": -512,
  "dft_energy_ev_per_atom": -6.299,
  "lattice_angstrom": [[3.514, 0.000, 0.000], [0.000, 3.514, 0.000], [0.000, 0.000, 6.393]],
  "species": ["Er", "Bi", "Rh", "Rh"],
  "frac_coords": [[0.000, 0.000, 0.000], [0.000, 0.000, 0.500], [0.500, 0.500, 0.246], [0.500, 0.500, 0.754]]
}